{"formula": "Pu2ZrTl3Te6", "functional": "PBE", "state": "optimized geometry", "lattice_angstrom": [[-0.3073, -5.8861, -4.8124], [5.2879, 0.1519, 5.4695], [-6.7825, -1.9688, 4.8471]], "species": ["Pu", "Pu", "Zr", "Tl", "Tl", "Tl", "Te", "Te", "Te", "Te", "Te", "Te"], "frac_coords": [[0.3342, 0.6658, 0.0000], [0.6658, 0.3342, 0.0000], [0.0000, 0.0000, 0.0000], [0.1714, 0.8286, 0.5000], [0.8286, 0.1714, 0.5000], [0.5000, 0.5000, 0.5000], [0.9298, 0.6131, 0.7889], [0.7559, 0.7559, 0.2159], [0.0702, 0.3869, 0.2111], [0.6131, 0.9298, 0.7889], [0.2441, 0.2441, 0.7841], [0.3869, 0.0702, 0.2111]], "vol_a3_per_cell": 410.8, "e_form_raw_ev_per_fu": -9.021, "total_magnetization_mub_per_atom": 0.92}